Entry 1:
The following is a DFT calculation (GGA-PBE) of a geometry-optimized CaNiH structure.

Lattice parameters (Å, degrees): 3.7659 4.5163 5.8002 112.54 93.15 90.08
Last column: nearest neighbours and their distance in Å.
Space group P-1 (No. 2)
Symmetry-distinct sites (fractional):
Ca 0.2379 0.3528 0.2079 [2 per cell]  2 H 2.34
Ni 0.2611 0.0688 0.6342 [2 per cell]  2 H 1.70-1.74
H 0.1800 0.9028 0.3105 [2 per cell]  2 Ni 1.70-1.74

DFT total energy = -11.8 eV per formula unit
DOS at the Fermi energy = 0.344 states/eV/atom

Entry 2:
The following is a DFT calculation (GGA-PBE) of a geometry-optimized PmNdAlSn structure.

Lattice parameters (Å, degrees): 7.6112 7.6112 7.6112 90.00 90.00 90.00
Last column: nearest neighbours and their distance in Å.
Space group F-43m (No. 216)
Symmetry-distinct sites (fractional):
Pm 0.0000 0.0000 0.0000 [4 per cell]  4 Al 3.30, 4 Sn 3.30
Nd 0.0000 0.0000 0.5000 [4 per cell]  4 Sn 3.30, 4 Al 3.30
Al 0.2500 0.2500 0.7500 [4 per cell]  4 Nd 3.30, 4 Pm 3.30
Sn 0.2500 0.2500 0.2500 [4 per cell]  4 Pm 3.30, 4 Nd 3.30

Calculated formation energy = -0.45 eV per atom
DOS at the Fermi energy = 0.803 states/eV/atom

Entry 3:
The following is a DFT calculation (GGA-PBE) of a geometry-optimized Ba2RePb structure.

Lattice parameters (Å, degrees): 3.7976 3.7976 9.8465 90.00 90.00 90.00
Last column: nearest neighbours and their distance in Å.
Space group P4mm (No. 99)
Symmetry-distinct sites (fractional):
Ba 0.0000 0.0000 0.0000 [1 per cell]  1 Pb 3.35, 4 Re 3.49
Ba 0.5000 0.5000 0.4303 [1 per cell]  1 Re 3.38, 4 Pb 3.51
Re 0.5000 0.5000 0.7736 [1 per cell]  4 Pb 2.91
Pb 0.0000 0.0000 0.6595 [1 per cell]  4 Re 2.91

Calculated formation energy = 0.57 eV per atom
DOS at the Fermi energy = 1.174 states/eV/atom